1.
This record from Alexandria via LeMat-Bulk describes crystalline Nb2BiRh2 at its relaxed geometry. The functional is PBE-GGA.

Calculated values
DOS(E_F) ... 0.836 states/eV per atom
Energy ... -0.2899 Ha/atom
E_form ... -0.14 eV per atom
Space-group type ... P4/mbm, No. 127
M_tot ... 0.00 μB/cell
Polymorph energy (0 for the lowest one) ... 0 meV/atom

Unit cell a=7.879 b=7.879 c=2.988 alpha=90.00 beta=90.00 gamma=90.00
Atoms (fractional coordinates):
Nb1 0.157 0.343 0.000
Nb2 0.343 0.843 0.000
Nb3 0.657 0.157 0.000
Nb4 0.843 0.657 0.000
Bi1 0.000 0.000 0.500
Bi2 0.500 0.500 0.500
Rh1 0.132 0.632 0.500
Rh2 0.368 0.132 0.500
Rh3 0.632 0.868 0.500
Rh4 0.868 0.368 0.500

***

2.
This record from Alexandria via LeMat-Bulk describes crystalline Tb9NdSm2 at its relaxed geometry. The functional is PBE-GGA.

Calculated values
DOS(E_F) ... 1.372 states/eV per atom
Energy ... -0.1694 Ha/atom
E_form ... 0.05 eV per atom
Space-group type ... P6/mmm, No. 191
M_tot ... 0.00 μB/cell
Polymorph energy (0 for the lowest one) ... 29 meV/atom

Unit cell a=11.329 b=11.329 c=3.522 alpha=90.00 beta=90.00 gamma=120.00
Atoms (fractional coordinates):
Tb1 0.000 0.500 0.000
Tb2 0.176 0.352 0.500
Tb3 0.176 0.824 0.500
Tb4 0.352 0.176 0.500
Tb5 0.500 0.000 0.000
Tb6 0.500 0.500 0.000
Tb7 0.648 0.824 0.500
Tb8 0.824 0.176 0.500
Tb9 0.824 0.648 0.500
Nd1 0.000 0.000 0.000
Sm1 0.333 0.667 0.000
Sm2 0.667 0.333 0.000

***

3.
This record from Alexandria via LeMat-Bulk describes crystalline CoGeAs at its relaxed geometry. The functional is PBE-GGA.

Calculated values
DOS(E_F) ... 0.416 states/eV per atom
Energy ... -0.2079 Ha/atom
E_form ... -0.20 eV per atom
Space-group type ... Pmn2_1, No. 31
M_tot ... 0.25 μB/cell
Polymorph energy (0 for the lowest one) ... 9 meV/atom

Unit cell a=2.817 b=5.494 c=5.957 alpha=90.00 beta=90.00 gamma=90.00
Atoms (fractional coordinates):
Co1 0.000 0.240 0.000
Co2 0.500 0.760 0.500
Ge1 0.000 0.434 0.640
Ge2 0.500 0.566 0.140
As1 0.000 0.074 0.368
As2 0.500 0.926 0.868

***

4.
This record from Alexandria via LeMat-Bulk describes crystalline Sm4TlO at its relaxed geometry. The functional is PBE-GGA.

Calculated values
DOS(E_F) ... 0.742 states/eV per atom
Energy ... -0.1981 Ha/atom
E_form (uncorrected) ... -1022 meV per atom
Space-group type ... P-1, No. 2
M_tot ... 0.00 μB/cell

Unit cell a=5.755 b=7.263 c=8.460 alpha=74.03 beta=70.14 gamma=89.99
Atoms (fractional coordinates):
Sm1 0.096 0.422 0.284
Sm2 0.120 0.922 0.284
Sm3 0.295 0.797 0.887
Sm4 0.318 0.297 0.887
Sm5 0.682 0.703 0.113
Sm6 0.705 0.203 0.113
Sm7 0.880 0.078 0.716
Sm8 0.904 0.578 0.716
Tl1 0.484 0.250 0.500
Tl2 0.516 0.750 0.500
O1 0.000 0.500 0.000
O2 0.500 0.000 0.000